# Re2AgPb

A relaxed Re2AgPb crystal (PBE-GGA, Alexandria).

a = 9.436 Å, b = 9.436 Å, c = 9.436 Å
α = 18.12°, β = 18.12°, γ = 18.12°
Fractional positions:
Re  0.249  0.249  0.249
Re  0.751  0.751  0.751
Ag  0.500  0.500  0.500
Pb  0.000  0.000  0.000

Output
Calculated formation energy, eV/atom: 1.135
DOS at the Fermi energy, states/eV per atom: 1.29



# Re2AgPb

A relaxed Re2AgPb crystal (PBE-GGA, Alexandria).

a = 5.342 Å, b = 5.342 Å, c = 5.342 Å
α = 136.55°, β = 136.55°, γ = 63.13°
Fractional positions:
Re  0.250  0.750  0.500
Re  0.750  0.250  0.500
Ag  0.000  0.000  0.000
Pb  0.500  0.500  0.000

Output
Calculated formation energy, eV/atom: 1.154
DOS at the Fermi energy, states/eV per atom: 1.23



# Re2Ag2Pb

A relaxed Re2Ag2Pb crystal (PBE-GGA, Alexandria).

a = 6.946 Å, b = 6.946 Å, c = 6.946 Å
α = 146.93°, β = 146.93°, γ = 47.46°
Fractional positions:
Re  0.091  0.091  0.000
Re  0.909  0.909  0.000
Ag  0.250  0.750  0.500
Ag  0.750  0.250  0.500
Pb  0.500  0.500  0.000

Output
Calculated formation energy, eV/atom: 1.140
DOS at the Fermi energy, states/eV per atom: 1.01



# Re2AgPb

A relaxed Re2AgPb crystal (PBE-GGA, Alexandria).

a = 2.885 Å, b = 2.885 Å, c = 10.189 Å
α = 90.00°, β = 90.00°, γ = 115.65°
Fractional positions:
Re  0.000  0.000  0.000
Re  0.500  0.500  0.199
Ag  0.000  0.000  0.440
Pb  0.500  0.500  0.731

Output
Calculated formation energy, eV/atom: 0.716
DOS at the Fermi energy, states/eV per atom: 0.69